(1)
Pu2PaMn after structural relaxation. Source: Alexandria via LeMat-Bulk, functional PBE.

Output
ρ = 15.6 Mg/m³
ΔE_f = 0.072 eV per atom
M_tot = 7.67 μB per cell
E above lowest polymorph = 0 meV per atom

Lattice parameters (Å, degrees): 3.432 3.432 6.985 90.00 90.00 90.00
Atoms (fractional coordinates):
1 Pa 0.500 0.500 0.500
2 Mn 0.500 0.500 0.000
3 Pu 0.000 0.000 0.782
4 Pu 0.000 0.000 0.218


(2)
CaCdBi after structural relaxation. Source: Alexandria via LeMat-Bulk, functional PBE.

Output
ρ = 6.4 Mg/m³
ΔE_f = -0.376 eV per atom
M_tot = 0.00 μB per cell
E above lowest polymorph = 124 meV per atom

Lattice parameters (Å, degrees): 3.975 8.101 11.675 90.00 90.00 90.00
Atoms (fractional coordinates):
1 Bi 0.750 0.619 0.818
2 Cd 0.250 0.909 0.911
3 Ca 0.750 0.824 0.590
4 Bi 0.750 0.881 0.318
5 Bi 0.250 0.119 0.682
6 Cd 0.250 0.591 0.411
7 Ca 0.250 0.324 0.910
8 Ca 0.750 0.676 0.090
9 Bi 0.250 0.381 0.182
10 Cd 0.750 0.091 0.089
11 Cd 0.750 0.409 0.589
12 Ca 0.250 0.176 0.410


(3)
Hf2ZrCo2 after structural relaxation. Source: Alexandria via LeMat-Bulk, functional PBE.

Output
ρ = 10.5 Mg/m³
ΔE_f = -0.153 eV per atom
M_tot = 0.00 μB per cell
E above lowest polymorph = 117 meV per atom

Lattice parameters (Å, degrees): 3.249 5.194 5.739 104.41 106.44 90.00
Atoms (fractional coordinates):
1 Co 0.708 0.124 0.415
2 Hf 0.358 0.436 0.717
3 Zr 0.000 0.000 0.000
4 Hf 0.642 0.564 0.283
5 Co 0.292 0.876 0.585


Q: The lowest ΔE_f belongs to which entry?
A: CaCdBi


Q: ρ of number 3 (Hf2ZrCo2)?
A: 10.5 Mg/m³


Q: What is the formula in the third record?
A: Hf2ZrCo2